(1)
Material: Cs2NaTeF
Method: DFT, PBE-GGA
State: relaxed

The structure in POSCAR format:
```
Cs2NaTeF
1.0
-5.509 1.922 -0.868
-0.899 -4.336 -3.898
-1.665 -3.060 3.788
Cs Na Te F
2 1 1 1
Direct
0.000 0.500 0.000
0.500 0.000 0.000
0.000 0.000 0.500
0.500 0.500 0.500
0.000 0.000 0.000
```

## Properties
The total energy comes out at -3.15 eV/atom. The density comes out at 4037 kg/m3. Its total magnetization is 0.00 Bohr magnetons per cell.

---

(2)
Material: CsNa2ThF8
Method: DFT, PBE-GGA
State: relaxed

The structure in POSCAR format:
```
CsNa2ThF8
1.0
-3.179 5.100 2.693
-0.096 -5.879 2.967
6.858 2.032 4.247
Cs Na Th F
1 2 1 8
Direct
0.000 0.000 0.500
0.333 0.667 0.745
0.667 0.333 0.255
0.000 0.000 0.000
0.152 0.304 0.829
0.152 0.848 0.829
0.696 0.848 0.829
0.304 0.152 0.171
0.667 0.333 0.524
0.333 0.667 0.476
0.848 0.696 0.171
0.848 0.152 0.171
```

## Properties
The total energy comes out at -5.17 eV/atom. The density comes out at 2992 kg/m3. Its total magnetization is 1.13 Bohr magnetons per cell.

---

(3)
Material: Cs2Na3ThF12
Method: DFT, PBE-GGA
State: relaxed

The structure in POSCAR format:
```
Cs2Na3ThF12
1.0
-4.790 5.272 4.225
0.446 0.844 8.227
2.977 6.815 3.645
Cs Na Th F
2 3 1 12
Direct
0.607 0.607 0.607
0.393 0.393 0.393
0.500 0.000 0.000
0.000 0.500 0.000
0.000 0.000 0.500
0.000 0.000 0.000
0.345 0.345 0.838
0.922 0.922 0.333
0.333 0.922 0.922
0.838 0.345 0.345
0.922 0.333 0.922
0.345 0.838 0.345
0.655 0.655 0.162
0.078 0.078 0.667
0.667 0.078 0.078
0.162 0.655 0.655
0.078 0.667 0.078
0.655 0.162 0.655
```

## Properties
The total energy comes out at -4.59 eV/atom. The density comes out at 3504 kg/m3. Its total magnetization is 3.00 Bohr magnetons per cell.